A plane-wave DFT calculation with PBE was carried out for KZr2Tc after structural relaxation.

Values from the calculation:
The calculation puts the offset from the most stable computed form at 253.5 meV/atom. The energy relative to the elements comes out at 0.39 eV per atom.

abc: 3.3570 3.3570 32.2262
angles: 90.00 90.00 120.00
Closest atoms and distances in Å follow each position.
Atoms (fractional coordinates):
K (0.0000, 0.0000, 0.0000)  6 K 3.36
K (0.3333, 0.6667, 0.6667)  6 K 3.36
K (0.6667, 0.3333, 0.3333)  6 K 3.36
Zr (0.0000, 0.0000, 0.2254)  3 Tc 2.71
Zr (0.0000, 0.0000, 0.7746)  3 Tc 2.71
Zr (0.3333, 0.6667, 0.4413)  3 Tc 2.71
Zr (0.3333, 0.6667, 0.8920)  3 Tc 2.71
Zr (0.6667, 0.3333, 0.1080)  3 Tc 2.71
Zr (0.6667, 0.3333, 0.5587)  3 Tc 2.71
Tc (0.0000, 0.0000, 0.5000)  6 Zr 2.71
Tc (0.3333, 0.6667, 0.1667)  6 Zr 2.71
Tc (0.6667, 0.3333, 0.8333)  6 Zr 2.71

A plane-wave DFT calculation with PBE was carried out for Sm16Dy6Tm7 after structural relaxation.

Values from the calculation:
The energy relative to the elements comes out at 0.21 eV per atom.

abc: 11.1887 11.1887 11.1887
angles: 60.00 60.00 60.00
Closest atoms and distances in Å follow each position.
Atoms (fractional coordinates):
Sm (0.0508, 0.6497, 0.6497)  3 Tm 3.26, 3 Dy 3.59, 3 Sm 3.62
Sm (0.1244, 0.1244, 0.1244)  4 Tm 3.41-3.43, 3 Dy 3.60, 3 Sm 3.62
Sm (0.1244, 0.1244, 0.6268)  4 Tm 3.41-3.43, 3 Dy 3.60, 3 Sm 3.62
Sm (0.1244, 0.6268, 0.1244)  4 Tm 3.41-3.43, 3 Dy 3.60, 3 Sm 3.62
Sm (0.3503, 0.3503, 0.3503)  3 Tm 3.26, 3 Dy 3.59, 3 Sm 3.62
Sm (0.3503, 0.3503, 0.9492)  3 Tm 3.26, 3 Dy 3.59, 3 Sm 3.62
Sm (0.3503, 0.9492, 0.3503)  3 Tm 3.26, 3 Dy 3.59, 3 Sm 3.62
Sm (0.3732, 0.8756, 0.8756)  4 Tm 3.41-3.43, 3 Dy 3.60, 3 Sm 3.62
Sm (0.6268, 0.1244, 0.1244)  4 Tm 3.41-3.43, 3 Dy 3.60, 3 Sm 3.62
Sm (0.6497, 0.0508, 0.6497)  3 Tm 3.26, 3 Dy 3.59, 3 Sm 3.62
Sm (0.6497, 0.6497, 0.0508)  3 Tm 3.26, 3 Dy 3.59, 3 Sm 3.62
Sm (0.6497, 0.6497, 0.6497)  3 Tm 3.26, 3 Dy 3.59, 3 Sm 3.62
Sm (0.8756, 0.3732, 0.8756)  4 Tm 3.41-3.43, 3 Dy 3.60, 3 Sm 3.62
Sm (0.8756, 0.8756, 0.3732)  4 Tm 3.41-3.43, 3 Dy 3.60, 3 Sm 3.62
Sm (0.8756, 0.8756, 0.8756)  4 Tm 3.41-3.43, 3 Dy 3.60, 3 Sm 3.62
Sm (0.9492, 0.3503, 0.3503)  3 Tm 3.26, 3 Dy 3.59, 3 Sm 3.62
Dy (0.2691, 0.2691, 0.7309)  8 Sm 3.59-3.60, 4 Tm 3.97
Dy (0.2691, 0.7309, 0.2691)  8 Sm 3.59-3.60, 4 Tm 3.97
Dy (0.2691, 0.7309, 0.7309)  8 Sm 3.59-3.60, 4 Tm 3.97
Dy (0.7309, 0.2691, 0.2691)  8 Sm 3.59-3.60, 4 Tm 3.97
Dy (0.7309, 0.2691, 0.7309)  8 Sm 3.59-3.60, 4 Tm 3.97
Dy (0.7309, 0.7309, 0.2691)  8 Sm 3.59-3.60, 4 Tm 3.97
Tm (0.0000, 0.0000, 0.0000)  8 Sm 3.41
Tm (0.0000, 0.0000, 0.5000)  8 Sm 3.26-3.43
Tm (0.0000, 0.5000, 0.0000)  8 Sm 3.26-3.43
Tm (0.0000, 0.5000, 0.5000)  8 Sm 3.26-3.43
Tm (0.5000, 0.0000, 0.0000)  8 Sm 3.26-3.43
Tm (0.5000, 0.0000, 0.5000)  8 Sm 3.26-3.43
Tm (0.5000, 0.5000, 0.0000)  8 Sm 3.26-3.43

A plane-wave DFT calculation with PBE was carried out for GaAsPt3 after structural relaxation.

Values from the calculation:
The calculation puts the offset from the most stable computed form at 0.0 meV/atom. The energy relative to the elements comes out at 0.41 eV per atom.

abc: 4.7133 4.7133 4.7133
angles: 90.00 90.00 90.00
Closest atoms and distances in Å follow each position.
Atoms (fractional coordinates):
Ga (0.0000, 0.0000, 0.0000)  12 Pt 3.33
As (0.5000, 0.5000, 0.5000)  6 Pt 2.36
Pt (0.0000, 0.5000, 0.5000)  2 As 2.36
Pt (0.5000, 0.0000, 0.5000)  2 As 2.36
Pt (0.5000, 0.5000, 0.0000)  2 As 2.36

A plane-wave DFT calculation with PBE was carried out for Dy5Rh2Pb2 after structural relaxation.

Values from the calculation:
The energy relative to the elements comes out at -0.64 eV per atom.

abc: 8.8819 8.8819 7.2128
angles: 90.00 90.00 56.99
Closest atoms and distances in Å follow each position.
Atoms (fractional coordinates):
Dy (0.0000, 0.0000, 0.0000)  2 Rh 2.80
Dy (0.0595, 0.7051, 0.6471)  2 Rh 2.81-2.91
Dy (0.2051, 0.5595, 0.1471)  2 Rh 2.81-2.91
Dy (0.2949, 0.9405, 0.6471)  2 Rh 2.81-2.91
Dy (0.4405, 0.7949, 0.1471)  2 Rh 2.81-2.91
Dy (0.5000, 0.5000, 0.5000)  2 Rh 2.80
Dy (0.5595, 0.2051, 0.8529)  2 Rh 2.81-2.91
Dy (0.7051, 0.0595, 0.3529)  2 Rh 2.81-2.91
Dy (0.7949, 0.4405, 0.8529)  2 Rh 2.81-2.91
Dy (0.9405, 0.2949, 0.3529)  2 Rh 2.81-2.91
Rh (0.1262, 0.8738, 0.3589)  5 Dy 2.80-2.91, 1 Rh 2.95
Rh (0.3738, 0.6262, 0.8589)  5 Dy 2.80-2.91, 1 Rh 2.95
Rh (0.6262, 0.3738, 0.1411)  5 Dy 2.80-2.91, 1 Rh 2.95
Rh (0.8738, 0.1262, 0.6411)  5 Dy 2.80-2.91, 1 Rh 2.95
Pb (0.2133, 0.2133, 0.0000)  7 Dy 3.22-3.33
Pb (0.2867, 0.2867, 0.5000)  7 Dy 3.22-3.33
Pb (0.7133, 0.7133, 0.5000)  7 Dy 3.22-3.33
Pb (0.7867, 0.7867, 0.0000)  7 Dy 3.22-3.33

A plane-wave DFT calculation with PBE was carried out for Np2Zn15Au2 after structural relaxation.

Values from the calculation:
The energy relative to the elements comes out at -0.10 eV per atom.

abc: 6.8495 6.8495 6.8495
angles: 82.85 82.85 82.85
Closest atoms and distances in Å follow each position.
Atoms (fractional coordinates):
Np (0.1561, 0.1561, 0.1561)  1 Au 3.08, 15 Zn 3.15-3.44
Np (0.8439, 0.8439, 0.8439)  1 Au 3.08, 15 Zn 3.15-3.44
Zn (0.0000, 0.5000, 0.5000)  8 Zn 2.60-2.66, 2 Au 2.72
Zn (0.1465, 0.1465, 0.6609)  8 Zn 2.57-2.79, 1 Au 2.85
Zn (0.1465, 0.6609, 0.1465)  8 Zn 2.57-2.79, 1 Au 2.85
Zn (0.2044, 0.5000, 0.7956)  8 Zn 2.60-2.79
Zn (0.2044, 0.7956, 0.5000)  8 Zn 2.60-2.79
Zn (0.3391, 0.8535, 0.8535)  8 Zn 2.57-2.79, 1 Au 2.85
Zn (0.5000, 0.0000, 0.5000)  8 Zn 2.60-2.66, 2 Au 2.72
Zn (0.5000, 0.2044, 0.7956)  8 Zn 2.60-2.79
Zn (0.5000, 0.5000, 0.0000)  8 Zn 2.60-2.66, 2 Au 2.72
Zn (0.5000, 0.7956, 0.2044)  8 Zn 2.60-2.79
Zn (0.6609, 0.1465, 0.1465)  8 Zn 2.57-2.79, 1 Au 2.85
Zn (0.7956, 0.2044, 0.5000)  8 Zn 2.60-2.79
Zn (0.7956, 0.5000, 0.2044)  8 Zn 2.60-2.79
Zn (0.8535, 0.3391, 0.8535)  8 Zn 2.57-2.79, 1 Au 2.85
Zn (0.8535, 0.8535, 0.3391)  8 Zn 2.57-2.79, 1 Au 2.85
Au (0.3883, 0.3883, 0.3883)  6 Zn 2.72-2.85, 1 Au 2.96
Au (0.6117, 0.6117, 0.6117)  6 Zn 2.72-2.85, 1 Au 2.96

A plane-wave DFT calculation with PBE was carried out for Al2CoHg after structural relaxation.

Values from the calculation:
The calculation puts the offset from the most stable computed form at 228.8 meV/atom. The energy relative to the elements comes out at 0.02 eV per atom.

abc: 8.7576 3.4083 4.4574
angles: 90.00 109.15 90.00
Closest atoms and distances in Å follow each position.
Atoms (fractional coordinates):
Al (0.0000, 0.0000, 0.0000)  2 Co 2.45, 1 Hg 2.63
Al (0.2320, 0.0000, 0.6966)  3 Co 2.50-2.61, 2 Hg 2.72, 1 Al 2.79
Al (0.5000, 0.5000, 0.0000)  2 Co 2.45, 1 Hg 2.63
Al (0.7320, 0.5000, 0.6966)  3 Co 2.50-2.61, 2 Hg 2.72, 1 Al 2.79
Co (0.0139, 0.5000, 0.6134)  5 Al 2.45-2.61
Co (0.5139, 0.0000, 0.6134)  5 Al 2.45-2.61
Hg (0.2650, 0.5000, 0.2465)  7 Al 2.63-2.92, 2 Co 2.83
Hg (0.7650, 0.0000, 0.2465)  7 Al 2.63-2.92, 2 Co 2.83

A plane-wave DFT calculation with PBE was carried out for Ac2InBi after structural relaxation.

Values from the calculation:
The calculation puts the offset from the most stable computed form at 567.0 meV/atom. The energy relative to the elements comes out at -0.12 eV per atom.

abc: 3.8952 3.8952 36.0159
angles: 90.00 90.00 120.00
Closest atoms and distances in Å follow each position.
Atoms (fractional coordinates):
Ac (0.0000, 0.0000, 0.0939)  1 Bi 3.38, 3 In 3.45
Ac (0.0000, 0.0000, 0.9061)  1 Bi 3.38, 3 In 3.45
Ac (0.3333, 0.6667, 0.5727)  1 Bi 3.38, 3 In 3.45
Ac (0.3333, 0.6667, 0.7606)  1 Bi 3.38, 3 In 3.45
Ac (0.6667, 0.3333, 0.2394)  1 Bi 3.38, 3 In 3.45
Ac (0.6667, 0.3333, 0.4273)  1 Bi 3.38, 3 In 3.45
In (0.0000, 0.0000, 0.5000)  6 Ac 3.45
In (0.3333, 0.6667, 0.1667)  6 Ac 3.45
In (0.6667, 0.3333, 0.8333)  6 Ac 3.45
Bi (0.0000, 0.0000, 0.0000)  2 Ac 3.38
Bi (0.3333, 0.6667, 0.6667)  2 Ac 3.38
Bi (0.6667, 0.3333, 0.3333)  2 Ac 3.38

A plane-wave DFT calculation with PBE was carried out for Tb2Ho8Er after structural relaxation.

Values from the calculation:
The calculation puts the offset from the most stable computed form at 0.0 meV/atom. The energy relative to the elements comes out at 0.02 eV per atom.

abc: 9.3196 9.3196 7.8799
angles: 104.71 104.71 30.94
Closest atoms and distances in Å follow each position.
Atoms (fractional coordinates):
Tb (0.2271, 0.2271, 0.1366)  10 Ho 3.52-3.53, 2 Tb 3.52
Tb (0.7729, 0.7729, 0.8634)  10 Ho 3.52-3.53, 2 Tb 3.52
Ho (0.0452, 0.0452, 0.2275)  9 Ho 3.51-3.52, 2 Er 3.52, 1 Tb 3.53
Ho (0.1360, 0.1360, 0.6808)  2 Er 3.51, 7 Ho 3.51-3.53, 3 Tb 3.53
Ho (0.3184, 0.3184, 0.5911)  8 Ho 3.52-3.53, 3 Tb 3.52, 1 Er 3.52
Ho (0.4094, 0.4094, 0.0459)  8 Ho 3.51-3.52, 1 Er 3.52, 3 Tb 3.52-3.53
Ho (0.5906, 0.5906, 0.9541)  8 Ho 3.51-3.52, 1 Er 3.52, 3 Tb 3.52-3.53
Ho (0.6816, 0.6816, 0.4089)  8 Ho 3.52-3.53, 3 Tb 3.52, 1 Er 3.52
Ho (0.8640, 0.8640, 0.3192)  2 Er 3.51, 7 Ho 3.51-3.53, 3 Tb 3.53
Ho (0.9548, 0.9548, 0.7725)  9 Ho 3.51-3.52, 2 Er 3.52, 1 Tb 3.53
Er (0.5000, 0.5000, 0.5000)  12 Ho 3.51-3.52